Entry 1:
Crystalline Dy2InI at its relaxed geometry, computed with GGA-PBE.

Unit cell a=3.7866 b=3.7866 c=28.0812 alpha=90.00 beta=90.00 gamma=120.00
Space group R3m (No. 160, hexagonal axes)
Asymmetric unit:
Dy: 0.0000 0.0000 0.0000 (multiplicity 3)
Dy: 0.0000 0.0000 0.1690 (multiplicity 3)
In: 0.0000 0.0000 0.5847 (multiplicity 3)
I: 0.0000 0.0000 0.4171 (multiplicity 3)

- Formation energy from raw total energies: -2.22 eV/f.u.
- E above lowest polymorph: 0.000 eV per atom
- N(E_F): 0.3943 states/eV/atom

***

Entry 2:
Crystalline Mn12Co3Tc5 at its relaxed geometry, computed with GGA-PBE.

Unit cell a=13.2941 b=13.2941 c=13.2941 alpha=90.00 beta=90.00 gamma=90.00
Space group Ia-3d (No. 230)
Asymmetric unit:
Mn: 0.0093 0.0852 0.6552 (multiplicity 96)
Co: 0.0000 0.2500 0.1250 (multiplicity 24)
Tc: 0.0000 0.0000 0.0000 (multiplicity 16)
Tc: 0.0000 0.2500 0.3750 (multiplicity 24)

- Formation energy from the elements: 1006 meV per atom
- N(E_F): 1.4689 states/eV/atom

***

Entry 3:
Crystalline Pr2GaCu at its relaxed geometry, computed with GGA-PBE.

Unit cell a=4.5058 b=3.7559 c=11.9539 alpha=90.00 beta=90.00 gamma=90.00
Space group Amm2 (No. 38)
Asymmetric unit:
Pr: 0.0000 0.0000 0.0000 (multiplicity 2)
Pr: 0.5000 0.0000 0.2946 (multiplicity 2)
Ga: 0.5000 0.0000 0.5840 (multiplicity 2)
Cu: 0.0000 0.0000 0.7101 (multiplicity 2)

- Formation energy from the elements: -332 meV per atom
- N(E_F): 0.8432 states/eV/atom

***

Entry 4:
Crystalline SbRhPbI2 at its relaxed geometry, computed with GGA-PBE.

Unit cell a=6.1772 b=6.1772 c=6.0286 alpha=90.00 beta=90.00 gamma=90.00
Space group P4/mmm (No. 123)
Asymmetric unit:
Sb: 0.0000 0.0000 0.0000 (multiplicity 1)
Rh: 0.5000 0.5000 0.0000 (multiplicity 1)
Pb: 0.0000 0.0000 0.5000 (multiplicity 1)
I: 0.0000 0.5000 0.5000 (multiplicity 2)

- Formation energy from raw total energies: 5.30 eV/f.u.
- E above lowest polymorph: 0.917 eV per atom
- N(E_F): 2.1961 states/eV/atom